[1]
# SrCoTc2Pt, PBEsol geometry, DFT meta-GGA SCAN
# * energy of formation: 2.8731 eV/atom
# * mass density: 8.07 g/cm3
# * crystal system: tetragonal
# * DFT total energy: -33.1054 eV per atom
data_SrCoTc2Pt
_chemical_formula_sum 'Sr1 Co1 Tc2 Pt1'
_symmetry_space_group_name_H-M 'P 4/m m m'
_symmetry_Int_Tables_number 123
_symmetry_space_group_name_Hall '-P 4 2'
_cell_length_a 4.7321
_cell_length_b 4.7321
_cell_length_c 4.9377
_cell_angle_alpha 90.00
_cell_angle_beta 90.00
_cell_angle_gamma 90.00
loop_
_atom_site_label
_atom_site_fract_x
_atom_site_fract_y
_atom_site_fract_z
Sr1 0.0000 0.0000 0.0000
Co1 0.5000 0.5000 0.5000
Tc1 0.0000 0.5000 0.0000
Pt1 0.0000 0.0000 0.5000

=====

[2]
# Sr2YCoPt, PBEsol geometry, DFT meta-GGA SCAN
# * energy of formation: 0.2031 eV/atom
# * mass density: 5.61 g/cm3
# * crystal system: tetragonal
# * DFT total energy: -31.7750 eV per atom
data_Sr2YCoPt
_chemical_formula_sum 'Sr2 Y1 Co1 Pt1'
_symmetry_space_group_name_H-M 'P 4/m m m'
_symmetry_Int_Tables_number 123
_symmetry_space_group_name_Hall '-P 4 2'
_cell_length_a 5.7054
_cell_length_b 5.7054
_cell_length_c 4.7132
_cell_angle_alpha 90.00
_cell_angle_beta 90.00
_cell_angle_gamma 90.00
loop_
_atom_site_label
_atom_site_fract_x
_atom_site_fract_y
_atom_site_fract_z
Sr1 0.0000 0.5000 0.0000
Y1 0.0000 0.0000 0.5000
Co1 0.5000 0.5000 0.5000
Pt1 0.5000 0.5000 0.0000

=====

[3]
# TaCo2Pt, PBEsol geometry, DFT meta-GGA SCAN
# * energy of formation: -0.4420 eV/atom
# * mass density: 15.72 g/cm3
# * crystal system: tetragonal
# * DFT total energy: -43.2882 eV per atom
# * offset from the most stable computed form: 0.0 meV/atom
data_TaCo2Pt
_chemical_formula_sum 'Ta2 Co4 Pt2'
_symmetry_space_group_name_H-M 'I -4 m 2'
_symmetry_Int_Tables_number 119
_symmetry_space_group_name_Hall 'I -4 -2'
_cell_length_a 3.7012
_cell_length_b 3.7012
_cell_length_c 7.6181
_cell_angle_alpha 90.00
_cell_angle_beta 90.00
_cell_angle_gamma 90.00
loop_
_atom_site_label
_atom_site_fract_x
_atom_site_fract_y
_atom_site_fract_z
Ta1 0.0000 0.0000 0.0000
Co1 0.0000 0.0000 0.5000
Co2 0.0000 0.5000 0.2500
Pt1 0.0000 0.5000 0.7500

=====

> mass density of number 2 (Sr2YCoPt)?

5.61 g/cm3

=====

> What is the mass density in the second record?

5.61 g/cm3

=====

> The lowest DFT total energy belongs to which entry?

TaCo2Pt